Entry 1:
# LiCd2Sb GGA-PBE relaxed
data_LiCd2Sb
_symmetry_space_group_name_H-M 'P 1'
_symmetry_Int_Tables_number 1
_cell_length_a 3.1687
_cell_length_b 3.1687
_cell_length_c 9.0453
_cell_angle_alpha 90.00
_cell_angle_beta 90.00
_cell_angle_gamma 90.17
loop_
_symmetry_equiv_pos_as_xyz
'x,y,z'
loop_
_atom_site_label
_atom_site_type_symbol
_atom_site_fract_x
_atom_site_fract_y
_atom_site_fract_z
Li1 Li 0.0000 0.0000 0.0000
Cd1 Cd 0.5000 0.5000 0.2159
Cd2 Cd 0.5000 0.5000 0.7841
Sb1 Sb 0.0000 0.0000 0.5000
# E_form (uncorrected), eV per atom: -0.08
# D(E_F), states/eV per cell: 1.39
# Space group: No. 65



Entry 2:
# CsTlSn GGA-PBE relaxed
data_CsTlSn
_symmetry_space_group_name_H-M 'P 1'
_symmetry_Int_Tables_number 1
_cell_length_a 8.1845
_cell_length_b 8.1845
_cell_length_c 8.1845
_cell_angle_alpha 152.93
_cell_angle_beta 152.93
_cell_angle_gamma 38.65
loop_
_symmetry_equiv_pos_as_xyz
'x,y,z'
loop_
_atom_site_label
_atom_site_type_symbol
_atom_site_fract_x
_atom_site_fract_y
_atom_site_fract_z
Cs1 Cs 0.0000 0.0000 0.0000
Tl1 Tl 0.6892 0.6892 0.0000
Sn1 Sn 0.3129 0.3129 0.0000
# Energy relative to the elements, eV/f.u.: -0.2
# D(E_F), states/eV per cell: 2.78
# Space group: No. 107



Entry 3:
# TaZnH3 GGA-PBE relaxed
data_TaZnH3
_symmetry_space_group_name_H-M 'P 1'
_symmetry_Int_Tables_number 1
_cell_length_a 3.6145
_cell_length_b 3.6145
_cell_length_c 3.6145
_cell_angle_alpha 90.00
_cell_angle_beta 90.00
_cell_angle_gamma 90.00
loop_
_symmetry_equiv_pos_as_xyz
'x,y,z'
loop_
_atom_site_label
_atom_site_type_symbol
_atom_site_fract_x
_atom_site_fract_y
_atom_site_fract_z
Ta1 Ta 0.0000 0.0000 0.0000
Zn1 Zn 0.5000 0.5000 0.5000
H1 H 0.0000 0.0000 0.5000
H2 H 0.0000 0.5000 0.0000
H3 H 0.5000 0.0000 0.0000
# Calculated total energy, eV/atom: -4.365
# D(E_F), states/eV per cell: 1.93
# Space group: No. 221



Entry 4:
# La3Pr5Ru2 GGA-PBE relaxed
data_La3Pr5Ru2
_symmetry_space_group_name_H-M 'P 1'
_symmetry_Int_Tables_number 1
_cell_length_a 10.2753
_cell_length_b 10.2753
_cell_length_c 10.2753
_cell_angle_alpha 118.78
_cell_angle_beta 81.35
_cell_angle_gamma 131.99
loop_
_symmetry_equiv_pos_as_xyz
'x,y,z'
loop_
_atom_site_label
_atom_site_type_symbol
_atom_site_fract_x
_atom_site_fract_y
_atom_site_fract_z
La1 La 0.1159 0.7374 0.8533
La2 La 0.2500 0.2500 0.0000
La3 La 0.3841 0.2374 0.6216
La4 La 0.6159 0.7626 0.3784
La5 La 0.7500 0.7500 0.0000
La6 La 0.8841 0.2626 0.1467
Pr1 Pr 0.0008 0.7500 0.2508
Pr2 Pr 0.1350 0.2628 0.3979
Pr3 Pr 0.2500 0.7500 0.5000
Pr4 Pr 0.3650 0.7628 0.1278
Pr5 Pr 0.4992 0.7500 0.7492
Pr6 Pr 0.5008 0.2500 0.2508
Pr7 Pr 0.6350 0.2372 0.8722
Pr8 Pr 0.7500 0.2500 0.5000
Pr9 Pr 0.8650 0.7372 0.6021
Pr10 Pr 0.9992 0.2500 0.7492
Ru1 Ru 0.1283 0.9850 0.1134
Ru2 Ru 0.3717 0.4850 0.8567
Ru3 Ru 0.6283 0.5150 0.1433
Ru4 Ru 0.8717 0.0150 0.8866
# Energy relative to the elements, eV/f.u.: -0.8
# D(E_F), states/eV per cell: 21.40
# Space group: No. 72



Entry 5:
# PrSmAlIn GGA-PBE relaxed
data_PrSmAlIn
_symmetry_space_group_name_H-M 'P 1'
_symmetry_Int_Tables_number 1
_cell_length_a 3.7834
_cell_length_b 3.7834
_cell_length_c 7.6474
_cell_angle_alpha 90.00
_cell_angle_beta 90.00
_cell_angle_gamma 90.00
loop_
_symmetry_equiv_pos_as_xyz
'x,y,z'
loop_
_atom_site_label
_atom_site_type_symbol
_atom_site_fract_x
_atom_site_fract_y
_atom_site_fract_z
Pr1 Pr 0.0000 0.0000 0.0000
Sm1 Sm 0.0000 0.0000 0.4801
Al1 Al 0.5000 0.5000 0.2478
In1 In 0.5000 0.5000 0.7319
# Energy relative to the elements, eV/f.u.: -1.7
# Energy above the lowest structure with this stoichiometry, eV per atom: 0.000
# D(E_F), states/eV per cell: 2.05
# Space group: No. 99



Entry 6:
# ZnPd4Au4 GGA-PBE relaxed
data_ZnPd4Au4
_symmetry_space_group_name_H-M 'P 1'
_symmetry_Int_Tables_number 1
_cell_length_a 6.3381
_cell_length_b 6.3381
_cell_length_c 6.3381
_cell_angle_alpha 96.01
_cell_angle_beta 96.01
_cell_angle_gamma 142.25
loop_
_symmetry_equiv_pos_as_xyz
'x,y,z'
loop_
_atom_site_label
_atom_site_type_symbol
_atom_site_fract_x
_atom_site_fract_y
_atom_site_fract_z
Zn1 Zn 0.0000 0.0000 0.0000
Pd1 Pd 0.0000 0.3323 0.3323
Pd2 Pd 0.0000 0.6677 0.6677
Pd3 Pd 0.3323 0.0000 0.3323
Pd4 Pd 0.6677 0.0000 0.6677
Au1 Au 0.3343 0.3343 0.6685
Au2 Au 0.3343 0.6657 0.0000
Au3 Au 0.6657 0.3343 0.0000
Au4 Au 0.6657 0.6657 0.3315
# Energy relative to the elements, eV/f.u.: -1.5
# D(E_F), states/eV per cell: 4.61
# Space group: No. 139



Entry 7:
# CaPm2Rh2 GGA-PBE relaxed
data_CaPm2Rh2
_symmetry_space_group_name_H-M 'P 1'
_symmetry_Int_Tables_number 1
_cell_length_a 8.0176
_cell_length_b 8.0176
_cell_length_c 3.7904
_cell_angle_alpha 90.00
_cell_angle_beta 90.00
_cell_angle_gamma 90.00
loop_
_symmetry_equiv_pos_as_xyz
'x,y,z'
loop_
_atom_site_label
_atom_site_type_symbol
_atom_site_fract_x
_atom_site_fract_y
_atom_site_fract_z
Ca1 Ca 0.0000 0.0000 0.0000
Ca2 Ca 0.5000 0.5000 0.0000
Pm1 Pm 0.1535 0.3465 0.5000
Pm2 Pm 0.3465 0.8465 0.5000
Pm3 Pm 0.6535 0.1535 0.5000
Pm4 Pm 0.8465 0.6535 0.5000
Rh1 Rh 0.1412 0.6412 0.0000
Rh2 Rh 0.3588 0.1412 0.0000
Rh3 Rh 0.6412 0.8588 0.0000
Rh4 Rh 0.8588 0.3588 0.0000
# Energy relative to the elements, eV/f.u.: -2.9
# Energy above the lowest structure with this stoichiometry, eV per atom: 0.000
# D(E_F), states/eV per cell: 4.81
# Space group: No. 127



Entry 8:
# ErB4Ru GGA-PBE relaxed
data_ErB4Ru
_symmetry_space_group_name_H-M 'P 1'
_symmetry_Int_Tables_number 1
_cell_length_a 5.9382
_cell_length_b 11.4842
_cell_length_c 3.5427
_cell_angle_alpha 90.00
_cell_angle_beta 90.00
_cell_angle_gamma 90.00
loop_
_symmetry_equiv_pos_as_xyz
'x,y,z'
loop_
_atom_site_label
_atom_site_type_symbol
_atom_site_fract_x
_atom_site_fract_y
_atom_site_fract_z
Er1 Er 0.1288 0.1499 0.0000
Er2 Er 0.3712 0.6499 0.0000
Er3 Er 0.6288 0.3501 0.0000
Er4 Er 0.8712 0.8501 0.0000
B1 B 0.0238 0.6922 0.5000
B2 B 0.1124 0.5470 0.5000
B3 B 0.1356 0.9700 0.5000
B4 B 0.2103 0.8142 0.5000
B5 B 0.2897 0.3142 0.5000
B6 B 0.3644 0.4700 0.5000
B7 B 0.3876 0.0470 0.5000
B8 B 0.4762 0.1922 0.5000
B9 B 0.5238 0.8078 0.5000
B10 B 0.6124 0.9530 0.5000
B11 B 0.6356 0.5300 0.5000
B12 B 0.7103 0.6858 0.5000
B13 B 0.7897 0.1858 0.5000
B14 B 0.8644 0.0300 0.5000
B15 B 0.8876 0.4530 0.5000
B16 B 0.9762 0.3078 0.5000
Ru1 Ru 0.1411 0.4070 0.0000
Ru2 Ru 0.3589 0.9070 0.0000
Ru3 Ru 0.6411 0.0930 0.0000
Ru4 Ru 0.8589 0.5930 0.0000
# Energy relative to the elements, eV/f.u.: -3.9
# Energy above the lowest structure with this stoichiometry, eV per atom: 0.000
# D(E_F), states/eV per cell: 4.25
# Space group: No. 55



Entry 9:
# Mg2MnFe GGA-PBE relaxed
data_Mg2MnFe
_symmetry_space_group_name_H-M 'P 1'
_symmetry_Int_Tables_number 1
_cell_length_a 5.7463
_cell_length_b 5.7463
_cell_length_c 5.7463
_cell_angle_alpha 102.78
_cell_angle_beta 102.78
_cell_angle_gamma 123.89
loop_
_symmetry_equiv_pos_as_xyz
'x,y,z'
loop_
_atom_site_label
_atom_site_type_symbol
_atom_site_fract_x
_atom_site_fract_y
_atom_site_fract_z
Mg1 Mg 0.1125 0.6250 0.9875
Mg2 Mg 0.3750 0.3625 0.4875
Mg3 Mg 0.6375 0.1250 0.0125
Mg4 Mg 0.8750 0.8875 0.5125
Mn1 Mn 0.2500 0.7500 0.5000
Mn2 Mn 0.5000 0.5000 0.0000
Fe1 Fe 0.0000 0.0000 0.0000
Fe2 Fe 0.7500 0.2500 0.5000
# Energy relative to the elements, eV/f.u.: 2.6
# Energy above the lowest structure with this stoichiometry, eV per atom: 0.466
# D(E_F), states/eV per cell: 7.45
# Space group: No. 122



Entry 10:
# KNaLa2Br8 GGA-PBE relaxed
data_KNaLa2Br8
_symmetry_space_group_name_H-M 'P 1'
_symmetry_Int_Tables_number 1
_cell_length_a 7.1913
_cell_length_b 9.2236
_cell_length_c 7.2982
_cell_angle_alpha 90.00
_cell_angle_beta 93.96
_cell_angle_gamma 90.00
loop_
_symmetry_equiv_pos_as_xyz
'x,y,z'
loop_
_atom_site_label
_atom_site_type_symbol
_atom_site_fract_x
_atom_site_fract_y
_atom_site_fract_z
K1 K 0.0000 0.0000 0.0000
Na1 Na 0.0000 0.5000 0.0000
La1 La 0.5000 0.2540 0.5000
La2 La 0.5000 0.7460 0.5000
Br1 Br 0.2207 0.2691 0.1971
Br2 Br 0.2207 0.7309 0.1971
Br3 Br 0.3019 0.5000 0.6744
Br4 Br 0.3066 0.0000 0.6648
Br5 Br 0.6934 0.0000 0.3352
Br6 Br 0.6981 0.5000 0.3256
Br7 Br 0.7793 0.2691 0.8029
Br8 Br 0.7793 0.7309 0.8029
# E_form (uncorrected), eV per atom: -1.86
# D(E_F), states/eV per cell: 0.00
# Space group: No. 10



Entry 11:
# Ho2Cd5 GGA-PBE relaxed
data_Ho2Cd5
_symmetry_space_group_name_H-M 'P 1'
_symmetry_Int_Tables_number 1
_cell_length_a 8.5741
_cell_length_b 8.5741
_cell_length_c 8.5741
_cell_angle_alpha 129.45
_cell_angle_beta 70.21
_cell_angle_gamma 134.68
loop_
_symmetry_equiv_pos_as_xyz
'x,y,z'
loop_
_atom_site_label
_atom_site_type_symbol
_atom_site_fract_x
_atom_site_fract_y
_atom_site_fract_z
Ho1 Ho 0.1007 0.1876 0.2883
Ho2 Ho 0.3993 0.6876 0.0869
Ho3 Ho 0.6007 0.3124 0.9131
Ho4 Ho 0.8993 0.8124 0.7117
Cd1 Cd 0.0169 0.7500 0.2669
Cd2 Cd 0.1240 0.7634 0.8874
Cd3 Cd 0.2500 0.7500 0.5000
Cd4 Cd 0.3760 0.2634 0.6394
Cd5 Cd 0.4831 0.7500 0.7331
Cd6 Cd 0.5169 0.2500 0.2669
Cd7 Cd 0.6240 0.7366 0.3606
Cd8 Cd 0.7500 0.2500 0.5000
Cd9 Cd 0.8760 0.2366 0.1126
Cd10 Cd 0.9831 0.2500 0.7331
# Energy relative to the elements, eV/f.u.: -1.6
# D(E_F), states/eV per cell: 6.40
# Space group: No. 72



Entry 12:
# ZrSi3 GGA-PBE relaxed
data_ZrSi3
_symmetry_space_group_name_H-M 'P 1'
_symmetry_Int_Tables_number 1
_cell_length_a 4.9346
_cell_length_b 5.3865
_cell_length_c 4.8466
_cell_angle_alpha 90.00
_cell_angle_beta 90.00
_cell_angle_gamma 90.00
loop_
_symmetry_equiv_pos_as_xyz
'x,y,z'
loop_
_atom_site_label
_atom_site_type_symbol
_atom_site_fract_x
_atom_site_fract_y
_atom_site_fract_z
Zr1 Zr 0.2500 0.2500 0.1171
Zr2 Zr 0.7500 0.7500 0.8829
Si1 Si 0.2500 0.5250 0.6209
Si2 Si 0.2500 0.7500 0.1455
Si3 Si 0.2500 0.9750 0.6209
Si4 Si 0.7500 0.0250 0.3791
Si5 Si 0.7500 0.2500 0.8545
Si6 Si 0.7500 0.4750 0.3791
# E_form (uncorrected), eV per atom: -0.24
# D(E_F), states/eV per cell: 2.08
# Space group: No. 59



Entry 13:
# La2PmTl3Te6 GGA-PBE relaxed
data_La2PmTl3Te6
_symmetry_space_group_name_H-M 'P 1'
_symmetry_Int_Tables_number 1
_cell_length_a 8.0137
_cell_length_b 8.0137
_cell_length_c 8.5766
_cell_angle_alpha 98.96
_cell_angle_beta 98.96
_cell_angle_gamma 119.98
loop_
_symmetry_equiv_pos_as_xyz
'x,y,z'
loop_
_atom_site_label
_atom_site_type_symbol
_atom_site_fract_x
_atom_site_fract_y
_atom_site_fract_z
La1 La 0.1665 0.8335 0.0000
La2 La 0.8335 0.1665 0.0000
Pm1 Pm 0.5000 0.5000 0.0000
Tl1 Tl 0.0000 0.0000 0.5000
Tl2 Tl 0.3323 0.6677 0.5000
Tl3 Tl 0.6677 0.3323 0.5000
Te1 Te 0.0985 0.4266 0.7797
Te2 Te 0.2461 0.2461 0.2217
Te3 Te 0.4266 0.0985 0.7797
Te4 Te 0.5734 0.9015 0.2203
Te5 Te 0.7539 0.7539 0.7783
Te6 Te 0.9015 0.5734 0.2203
# E_form (uncorrected), eV per atom: -1.13
# Space group: No. 12



Entry 14:
# KZrRe GGA-PBE relaxed
data_KZrRe
_symmetry_space_group_name_H-M 'P 1'
_symmetry_Int_Tables_number 1
_cell_length_a 9.0135
_cell_length_b 9.0135
_cell_length_c 9.0135
_cell_angle_alpha 162.07
_cell_angle_beta 162.07
_cell_angle_gamma 25.47
loop_
_symmetry_equiv_pos_as_xyz
'x,y,z'
loop_
_atom_site_label
_atom_site_type_symbol
_atom_site_fract_x
_atom_site_fract_y
_atom_site_fract_z
K1 K 0.0000 0.0000 0.0000
Zr1 Zr 0.7067 0.7067 0.0000
Re1 Re 0.3358 0.3358 0.0000
# Energy relative to the elements, eV/f.u.: 2.9
# Energy above the lowest structure with this stoichiometry, eV per atom: 0.217
# D(E_F), states/eV per cell: 2.92
# Space group: No. 107



Entry 15:
# ZrTaTl GGA-PBE relaxed
data_ZrTaTl
_symmetry_space_group_name_H-M 'P 1'
_symmetry_Int_Tables_number 1
_cell_length_a 5.1172
_cell_length_b 5.1172
_cell_length_c 2.8680
_cell_angle_alpha 90.00
_cell_angle_beta 90.00
_cell_angle_gamma 120.00
loop_
_symmetry_equiv_pos_as_xyz
'x,y,z'
loop_
_atom_site_label
_atom_site_type_symbol
_atom_site_fract_x
_atom_site_fract_y
_atom_site_fract_z
Zr1 Zr 0.0000 0.0000 0.0000
Ta1 Ta 0.6667 0.3333 0.5000
Tl1 Tl 0.3333 0.6667 0.5000
# Energy relative to the elements, eV/f.u.: 1.2
# Energy above the lowest structure with this stoichiometry, eV per atom: 0.200
# D(E_F), states/eV per cell: 4.85
# Space group: No. 187



Entry 16:
# SmY2Ho4Sc GGA-PBE relaxed
data_SmY2Ho4Sc
_symmetry_space_group_name_H-M 'P 1'
_symmetry_Int_Tables_number 1
_cell_length_a 4.9669
_cell_length_b 4.9669
_cell_length_c 9.9687
_cell_angle_alpha 90.00
_cell_angle_beta 90.00
_cell_angle_gamma 90.00
loop_
_symmetry_equiv_pos_as_xyz
'x,y,z'
loop_
_atom_site_label
_atom_site_type_symbol
_atom_site_fract_x
_atom_site_fract_y
_atom_site_fract_z
Sm1 Sm 0.0000 0.0000 0.0000
Y1 Y 0.0000 0.0000 0.5000
Y2 Y 0.5000 0.5000 0.0000
Ho1 Ho 0.0000 0.5000 0.2560
Ho2 Ho 0.0000 0.5000 0.7440
Ho3 Ho 0.5000 0.0000 0.2560
Ho4 Ho 0.5000 0.0000 0.7440
Sc1 Sc 0.5000 0.5000 0.5000
# Energy relative to the elements, eV/f.u.: 0.3
# D(E_F), states/eV per cell: 12.13
# Space group: No. 123



Entry 17:
# AlHg4S5 GGA-PBE relaxed
data_AlHg4S5
_symmetry_space_group_name_H-M 'P 1'
_symmetry_Int_Tables_number 1
_cell_length_a 6.7656
_cell_length_b 6.7656
_cell_length_c 6.7656
_cell_angle_alpha 101.82
_cell_angle_beta 101.82
_cell_angle_gamma 126.18
loop_
_symmetry_equiv_pos_as_xyz
'x,y,z'
loop_
_atom_site_label
_atom_site_type_symbol
_atom_site_fract_x
_atom_site_fract_y
_atom_site_fract_z
Al1 Al 0.0000 0.0000 0.0000
Hg1 Hg 0.2123 0.3912 0.5988
Hg2 Hg 0.3912 0.7924 0.1789
Hg3 Hg 0.6135 0.2123 0.8211
Hg4 Hg 0.7924 0.6135 0.4012
S1 S 0.0064 0.3424 0.2048
S2 S 0.1376 0.8016 0.7952
S3 S 0.3424 0.1376 0.3359
S4 S 0.6161 0.6161 0.0000
S5 S 0.8016 0.0064 0.6641
# E_form (uncorrected), eV per atom: -0.22
# D(E_F), states/eV per cell: 1.76
# Space group: No. 79



Entry 18:
# Pm2Sm3Er4 GGA-PBE relaxed
data_Pm2Sm3Er4
_symmetry_space_group_name_H-M 'P 1'
_symmetry_Int_Tables_number 1
_cell_length_a 6.1896
_cell_length_b 6.2007
_cell_length_c 7.9973
_cell_angle_alpha 82.53
_cell_angle_beta 75.06
_cell_angle_gamma 80.48
loop_
_symmetry_equiv_pos_as_xyz
'x,y,z'
loop_
_atom_site_label
_atom_site_type_symbol
_atom_site_fract_x
_atom_site_fract_y
_atom_site_fract_z
Pm1 Pm 0.1674 0.3325 0.3329
Pm2 Pm 0.8326 0.6675 0.6671
Sm1 Sm 0.0571 0.1106 0.7778
Sm2 Sm 0.5000 0.0000 0.0000
Sm3 Sm 0.9429 0.8894 0.2222
Er1 Er 0.2775 0.5537 0.8885
Er2 Er 0.3901 0.7756 0.4455
Er3 Er 0.6099 0.2244 0.5545
Er4 Er 0.7225 0.4463 0.1115
# Energy relative to the elements, eV/f.u.: 0.2
# Energy above the lowest structure with this stoichiometry, eV per atom: 0.000
# D(E_F), states/eV per cell: 12.22
# Space group: No. 2